Crystalline Nb2InTe2 at its relaxed geometry, computed with PBE.

a = 5.1730 Å, b = 5.1730 Å, c = 9.4924 Å
α = 90.00°, β = 90.00°, γ = 90.00°
Fractional positions:
Nb 0.0000 0.0000 0.1217
Nb 0.0000 0.0000 0.8783
Nb 0.5000 0.5000 0.3783
Nb 0.5000 0.5000 0.6217
In 0.0000 0.0000 0.5000
In 0.5000 0.5000 0.0000
Te 0.0000 0.5000 0.2500
Te 0.0000 0.5000 0.7500
Te 0.5000 0.0000 0.2500
Te 0.5000 0.0000 0.7500

**Total magnetization**: 0.022 μB/atom
**Electronic total energy**: -5.664 eV per atom
**Symmetry**: I4/mmm, No. 139